VASP calculation (PBE+U) on a relaxed NpNiSb2O8 crystal.

Calculated total energy, eV per atom: -7.022

Cell and atoms, written as CIF:
```
data_NpNiSb2O8
_chemical_formula_sum 'Np2 Ni2 Sb4 O16'
_cell_length_a 6.877
_cell_length_b 7.121
_cell_length_c 6.381
_cell_angle_alpha 90.00
_cell_angle_beta 90.00
_cell_angle_gamma 90.00
_space_group_name_H-M_alt 'C m m m'
_space_group_IT_number 65
_space_group_name_Hall '-C 2 2'
loop_
_atom_site_label
_atom_site_fract_x
_atom_site_fract_y
_atom_site_fract_z
Np1 0.000 0.000 0.000
Ni1 0.000 0.000 0.500
Sb1 0.000 0.500 0.259
O1 0.000 0.310 0.500
O2 0.000 0.319 0.000
O3 0.203 0.000 0.251
```